# 1
Entry from Alexandria via LeMat-Bulk: a relaxed ErRu3 crystal (GGA-PBE).

Structure (POSCAR):
```
ErRu3
1.0
-2.011 2.011 4.041
2.011 -2.011 4.041
2.011 2.011 -4.041
Er Ru
1 3
Direct
0.000 0.000 0.000 Er
0.250 0.750 0.500 Ru
0.500 0.500 0.000 Ru
0.750 0.250 0.500 Ru
```

- SG: I4/mmm, No. 139
- N(E_F): 1.975 states/eV/atom
- Energy of formation: 133 meV/atom
- Spin magnetization: 0.249 μB/f.u.
- ρ: 11.95 g/cm3

***

# 2
Entry from Alexandria via LeMat-Bulk: a relaxed Er4Ru3 crystal (GGA-PBE).

Structure (POSCAR):
```
Er4Ru3
1.0
2.417 1.396 7.494
-2.417 1.396 7.494
0.000 -2.791 7.494
Er Ru
4 3
Direct
0.124 0.124 0.124 Er
0.374 0.374 0.374 Er
0.626 0.626 0.626 Er
0.876 0.876 0.876 Er
0.249 0.249 0.249 Ru
0.500 0.500 0.500 Ru
0.751 0.751 0.751 Ru
```

- SG: R-3m, No. 166
- N(E_F): 0.733 states/eV/atom
- Energy of formation: -326 meV/atom
- Spin magnetization: 0.000 μB/f.u.
- ρ: 10.64 g/cm3

***

# 3
Entry from Alexandria via LeMat-Bulk: a relaxed Er5Ru2 crystal (GGA-PBE).

Structure (POSCAR):
```
Er5Ru2
1.0
7.769 -3.143 0.000
7.769 3.143 0.000
-0.934 0.000 7.188
Er Ru
10 4
Direct
0.080 0.920 0.750 Er
0.141 0.294 0.315 Er
0.293 0.522 0.085 Er
0.294 0.141 0.815 Er
0.478 0.707 0.415 Er
0.522 0.293 0.585 Er
0.706 0.859 0.185 Er
0.707 0.478 0.915 Er
0.859 0.706 0.685 Er
0.920 0.080 0.250 Er
0.103 0.676 0.423 Ru
0.324 0.897 0.077 Ru
0.676 0.103 0.923 Ru
0.897 0.324 0.577 Ru
```

- SG: C2/c, No. 15
- N(E_F): 0.726 states/eV/atom
- Energy of formation: -393 meV/atom
- Spin magnetization: 0.000 μB/f.u.
- ρ: 9.82 g/cm3

***

# 4
Entry from Alexandria via LeMat-Bulk: a relaxed ErRu3 crystal (GGA-PBE).

Structure (POSCAR):
```
ErRu3
1.0
4.026 0.000 0.000
0.000 4.026 0.000
0.000 0.000 4.026
Er Ru
1 3
Direct
0.000 0.000 0.000 Er
0.000 0.500 0.500 Ru
0.500 0.000 0.500 Ru
0.500 0.500 0.000 Ru
```

- SG: Pm-3m, No. 221
- N(E_F): 1.611 states/eV/atom
- Energy of formation: 113 meV/atom
- Spin magnetization: 0.000 μB/f.u.
- ρ: 11.97 g/cm3

***

# 5
Entry from Alexandria via LeMat-Bulk: a relaxed Er4Ru crystal (GGA-PBE).

Structure (POSCAR):
```
Er4Ru
1.0
5.333 0.000 0.000
0.000 5.333 0.000
0.000 0.000 5.333
Er Ru
4 1
Direct
0.000 0.000 0.000 Er
0.000 0.500 0.500 Er
0.500 0.000 0.500 Er
0.500 0.500 0.000 Er
0.500 0.500 0.500 Ru
```

- SG: Pm-3m, No. 221
- N(E_F): 1.404 states/eV/atom
- Energy above the most stable polymorph in this dataset: 14.9 kJ per mole of atoms
- Energy of formation: -67 meV/atom
- Spin magnetization: 0.002 μB/f.u.
- ρ: 8.43 g/cm3

***

# 6
Entry from Alexandria via LeMat-Bulk: a relaxed Er4Ru crystal (GGA-PBE).

Structure (POSCAR):
```
Er4Ru
1.0
-4.234 4.234 3.961
4.234 -4.234 3.961
4.234 4.234 -3.961
Er Ru
8 2
Direct
0.027 0.824 0.190 Er
0.116 0.426 0.703 Er
0.163 0.973 0.797 Er
0.176 0.366 0.203 Er
0.574 0.277 0.690 Er
0.587 0.884 0.310 Er
0.634 0.837 0.810 Er
0.723 0.413 0.297 Er
0.250 0.750 0.500 Ru
0.500 0.500 0.000 Ru
```

- SG: I-42d, No. 122
- N(E_F): 1.102 states/eV/atom
- Energy above the most stable polymorph in this dataset: 0.0 kJ per mole of atoms
- Energy of formation: -221 meV/atom
- Spin magnetization: 0.353 μB/f.u.
- ρ: 9.00 g/cm3

***

# 7
Entry from Alexandria via LeMat-Bulk: a relaxed Er3Ru crystal (GGA-PBE).

Structure (POSCAR):
```
Er3Ru
1.0
11.496 0.000 0.000
0.000 11.496 0.000
0.000 0.000 6.130
Er Ru
24 8
Direct
0.033 0.911 0.204 Er
0.089 0.533 0.704 Er
0.118 0.305 0.022 Er
0.120 0.835 0.696 Er
0.165 0.620 0.196 Er
0.195 0.118 0.478 Er
0.305 0.382 0.478 Er
0.335 0.880 0.196 Er
0.380 0.665 0.696 Er
0.382 0.195 0.022 Er
0.411 0.967 0.704 Er
0.467 0.589 0.204 Er
0.533 0.411 0.796 Er
0.589 0.033 0.296 Er
0.618 0.805 0.978 Er
0.620 0.335 0.304 Er
0.665 0.120 0.804 Er
0.695 0.618 0.522 Er
0.805 0.882 0.522 Er
0.835 0.380 0.804 Er
0.880 0.165 0.304 Er
0.882 0.695 0.978 Er
0.911 0.467 0.296 Er
0.967 0.089 0.796 Er
0.046 0.310 0.526 Ru
0.190 0.046 0.974 Ru
0.310 0.454 0.974 Ru
0.454 0.190 0.526 Ru
0.546 0.810 0.474 Ru
0.690 0.546 0.026 Ru
0.810 0.954 0.026 Ru
0.954 0.690 0.474 Ru
```

- SG: P4_2/n, No. 86
- N(E_F): 1.111 states/eV/atom
- Energy of formation: -272 meV/atom
- Spin magnetization: 0.000 μB/f.u.
- ρ: 9.88 g/cm3

***

# 8
Entry from Alexandria via LeMat-Bulk: a relaxed Er6Ru5 crystal (GGA-PBE).

Structure (POSCAR):
```
Er6Ru5
1.0
7.482 -3.361 0.000
7.482 3.361 0.000
-1.531 0.000 4.546
Er Ru
6 5
Direct
0.082 0.583 0.333 Er
0.248 0.752 0.000 Er
0.417 0.918 0.667 Er
0.583 0.082 0.333 Er
0.752 0.248 0.000 Er
0.918 0.417 0.667 Er
0.000 0.000 0.500 Ru
0.163 0.163 0.164 Ru
0.330 0.330 0.829 Ru
0.670 0.670 0.171 Ru
0.837 0.837 0.836 Ru
```

- SG: C2/m, No. 12
- N(E_F): 0.705 states/eV/atom
- Energy of formation: -371 meV/atom
- Spin magnetization: 0.000 μB/f.u.
- ρ: 10.96 g/cm3

***

# 9
Entry from Alexandria via LeMat-Bulk: a relaxed Er5Ru3 crystal (GGA-PBE).

Structure (POSCAR):
```
Er5Ru3
1.0
3.394 0.000 0.000
0.000 3.394 0.000
0.000 0.000 15.906
Er Ru
5 3
Direct
0.000 0.000 0.000 Er
0.000 0.000 0.207 Er
0.000 0.000 0.793 Er
0.500 0.500 0.397 Er
0.500 0.500 0.603 Er
0.000 0.000 0.500 Ru
0.500 0.500 0.111 Ru
0.500 0.500 0.889 Ru
```

- SG: P4/mmm, No. 123
- N(E_F): 0.535 states/eV/atom
- Energy of formation: -402 meV/atom
- Spin magnetization: 0.000 μB/f.u.
- ρ: 10.33 g/cm3

***

# 10
Entry from Alexandria via LeMat-Bulk: a relaxed ErRu2 crystal (GGA-PBE).

Structure (POSCAR):
```
ErRu2
1.0
5.237 0.000 0.000
-2.618 4.535 0.000
0.000 0.000 8.924
Er Ru
4 8
Direct
0.333 0.667 0.067 Er
0.333 0.667 0.433 Er
0.667 0.333 0.567 Er
0.667 0.333 0.933 Er
0.000 0.000 0.000 Ru
0.000 0.000 0.500 Ru
0.171 0.342 0.750 Ru
0.171 0.829 0.750 Ru
0.342 0.171 0.250 Ru
0.658 0.829 0.750 Ru
0.829 0.171 0.250 Ru
0.829 0.658 0.250 Ru
```

- SG: P6_3/mmc, No. 194
- N(E_F): 1.195 states/eV/atom
- Energy of formation: -362 meV/atom
- Spin magnetization: 0.000 μB/f.u.
- ρ: 11.58 g/cm3

***

# 11
Entry from Alexandria via LeMat-Bulk: a relaxed Er3Ru crystal (GGA-PBE).

Structure (POSCAR):
```
Er3Ru
1.0
3.367 0.000 0.000
0.000 3.560 0.000
0.000 0.000 9.102
Er Ru
3 1
Direct
0.000 0.000 0.000 Er
0.000 0.500 0.344 Er
0.500 0.500 0.716 Er
0.500 0.000 0.495 Ru
```

- SG: Pmm2, No. 25
- N(E_F): 1.177 states/eV/atom
- Energy of formation: 37 meV/atom
- Spin magnetization: 0.000 μB/f.u.
- ρ: 9.18 g/cm3

***

# 12
Entry from Alexandria via LeMat-Bulk: a relaxed Er3Ru crystal (GGA-PBE).

Structure (POSCAR):
```
Er3Ru
1.0
7.268 0.000 0.000
0.000 9.056 0.000
0.000 0.000 6.249
Er Ru
12 4
Direct
0.040 0.250 0.131 Er
0.176 0.063 0.668 Er
0.176 0.437 0.668 Er
0.324 0.563 0.168 Er
0.324 0.937 0.168 Er
0.460 0.750 0.631 Er
0.540 0.250 0.369 Er
0.676 0.063 0.832 Er
0.676 0.437 0.832 Er
0.824 0.563 0.332 Er
0.824 0.937 0.332 Er
0.960 0.750 0.869 Er
0.115 0.750 0.462 Ru
0.385 0.250 0.962 Ru
0.615 0.750 0.038 Ru
0.885 0.250 0.538 Ru
```

- SG: Pnma, No. 62
- N(E_F): 0.702 states/eV/atom
- Energy of formation: -358 meV/atom
- Spin magnetization: 0.000 μB/f.u.
- ρ: 9.74 g/cm3

***

# 13
Entry from Alexandria via LeMat-Bulk: a relaxed ErRuS crystal (GGA-PBE).

Structure (POSCAR):
```
ErRuS
1.0
10.866 0.000 0.000
0.000 1.730 3.000
0.000 -1.730 3.000
Er Ru S
2 2 2
Direct
0.176 0.000 0.000 Er
0.824 0.000 0.000 Er
0.374 0.332 0.332 Ru
0.626 0.332 0.332 Ru
0.000 0.667 0.667 S
0.500 0.665 0.665 S
```

- SG: Amm2, No. 38
- Raw formation energy: -634 meV per atom
- N(E_F): 0.583 states/eV/atom
- Spin magnetization: 0.000 μB/f.u.
- ρ: 8.84 g/cm3

***

# 14
Entry from Alexandria via LeMat-Bulk: a relaxed Er7RuS5 crystal (GGA-PBE).

Structure (POSCAR):
```
Er7RuS5
1.0
1.901 -6.380 0.000
1.901 6.380 0.000
0.000 0.000 23.394
Er Ru S
14 2 10
Direct
0.036 0.964 0.500 Er
0.132 0.868 0.217 Er
0.146 0.854 0.788 Er
0.295 0.705 0.431 Er
0.310 0.690 0.571 Er
0.398 0.602 0.131 Er
0.418 0.582 0.861 Er
0.582 0.418 0.361 Er
0.602 0.398 0.631 Er
0.690 0.310 0.071 Er
0.705 0.295 0.931 Er
0.854 0.146 0.288 Er
0.868 0.132 0.717 Er
0.964 0.036 0.000 Er
0.309 0.691 0.009 Ru
0.691 0.309 0.509 Ru
0.046 0.954 0.112 S
0.059 0.941 0.892 S
0.217 0.783 0.323 S
0.231 0.769 0.681 S
0.491 0.509 0.250 S
0.509 0.491 0.750 S
0.769 0.231 0.181 S
0.783 0.217 0.823 S
0.941 0.059 0.392 S
0.954 0.046 0.612 S
```

- SG: Cmc2_1, No. 36
- Raw formation energy: -1595 meV per atom
- N(E_F): 0.419 states/eV/atom
- Spin magnetization: 0.000 μB/f.u.
- ρ: 8.38 g/cm3

***

# 15
Entry from Alexandria via LeMat-Bulk: a relaxed Er5SbRu crystal (GGA-PBE).

Structure (POSCAR):
```
Er5SbRu
1.0
5.826 -4.263 0.000
5.826 4.263 0.000
-2.951 0.000 9.138
Er Sb Ru
10 2 2
Direct
0.108 0.892 0.750 Er
0.111 0.333 0.649 Er
0.186 0.629 0.030 Er
0.333 0.111 0.149 Er
0.371 0.814 0.470 Er
0.629 0.186 0.530 Er
0.667 0.889 0.851 Er
0.814 0.371 0.970 Er
0.889 0.667 0.351 Er
0.892 0.108 0.250 Er
0.458 0.542 0.750 Sb
0.542 0.458 0.250 Sb
0.000 0.000 0.000 Ru
0.000 0.000 0.500 Ru
```

- SG: C2/c, No. 15
- Raw formation energy: -201 meV per atom
- N(E_F): 0.913 states/eV/atom
- Spin magnetization: 0.000 μB/f.u.
- ρ: 7.75 g/cm3

***

# 16
Entry from Alexandria via LeMat-Bulk: a relaxed Er6Sb3Ru crystal (GGA-PBE).

Structure (POSCAR):
```
Er6Sb3Ru
1.0
5.524 -7.141 0.000
5.524 7.141 0.000
0.000 0.000 7.464
Er Sb Ru
12 6 2
Direct
0.006 0.994 0.500 Er
0.095 0.596 0.572 Er
0.246 0.754 0.046 Er
0.289 0.369 0.082 Er
0.369 0.289 0.582 Er
0.404 0.905 0.572 Er
0.596 0.095 0.072 Er
0.631 0.711 0.082 Er
0.711 0.631 0.582 Er
0.754 0.246 0.546 Er
0.905 0.404 0.072 Er
0.994 0.006 0.000 Er
0.071 0.293 0.759 Sb
0.293 0.071 0.259 Sb
0.400 0.600 0.384 Sb
0.600 0.400 0.884 Sb
0.707 0.929 0.759 Sb
0.929 0.707 0.259 Sb
0.139 0.861 0.758 Ru
0.861 0.139 0.258 Ru
```

- SG: Cmc2_1, No. 36
- Raw formation energy: -528 meV per atom
- N(E_F): 0.828 states/eV/atom
- Spin magnetization: 0.009 μB/f.u.
- ρ: 8.29 g/cm3

***

# 17
Entry from Alexandria via LeMat-Bulk: a relaxed Er8SbRu2 crystal (GGA-PBE).

Structure (POSCAR):
```
Er8SbRu2
1.0
4.281 -6.452 0.000
4.281 6.452 0.000
-1.305 0.000 5.362
Er Sb Ru
8 1 2
Direct
0.069 0.333 0.589 Er
0.246 0.754 0.000 Er
0.333 0.069 0.589 Er
0.388 0.388 0.204 Er
0.612 0.612 0.796 Er
0.667 0.931 0.411 Er
0.754 0.246 0.000 Er
0.931 0.667 0.411 Er
0.000 0.000 0.000 Sb
0.312 0.688 0.500 Ru
0.688 0.312 0.500 Ru
```

- SG: C2/m, No. 12
- Raw formation energy: -360 meV per atom
- N(E_F): 0.846 states/eV/atom
- Spin magnetization: 0.000 μB/f.u.
- ρ: 9.32 g/cm3

***

# 18
Entry from Alexandria via LeMat-Bulk: a relaxed ErSbRu2 crystal (GGA-PBE).

Structure (POSCAR):
```
ErSbRu2
1.0
4.550 0.000 0.000
0.000 4.550 0.000
0.000 0.000 3.417
Er Sb Ru
1 1 2
Direct
0.000 0.000 0.000 Er
0.500 0.500 0.000 Sb
0.000 0.500 0.500 Ru
0.500 0.000 0.500 Ru
```

- SG: P4/mmm, No. 123
- Raw formation energy: -416 meV per atom
- N(E_F): 0.308 states/eV/atom
- Spin magnetization: 0.000 μB/f.u.
- ρ: 11.53 g/cm3

***

# 19
Entry from Alexandria via LeMat-Bulk: a relaxed Er4Sb2Ru crystal (GGA-PBE).

Structure (POSCAR):
```
Er4Sb2Ru
1.0
7.057 -2.212 0.000
7.057 2.212 0.000
-3.537 0.000 6.276
Er Sb Ru
4 2 1
Direct
0.095 0.095 0.284 Er
0.381 0.381 0.239 Er
0.619 0.619 0.761 Er
0.905 0.905 0.716 Er
0.269 0.269 0.766 Sb
0.731 0.731 0.234 Sb
0.500 0.500 0.000 Ru
```

- SG: C2/m, No. 12
- Raw formation energy: -595 meV per atom
- N(E_F): 0.718 states/eV/atom
- Spin magnetization: 0.000 μB/f.u.
- ρ: 8.59 g/cm3